A relaxed SiNiBAsAuC crystal. Source: Alexandria via LeMat-Bulk, functional PBE-GGA.

Values from the calculation:
total magnetic moment = 0.00 μB per atom
crystal system = triclinic
ΔE to the lowest computed polymorph = 0.027 eV per atom

a b c (Å): 3.092 4.652 6.294
angles (deg): 80.54 76.12 70.75
Positions (direct):
Si  0.000  0.000  0.000
Ni  0.656  0.490  0.199
B  0.404  0.288  0.903
As  0.877  0.850  0.404
Au  0.055  0.284  0.594
C  0.207  0.587  0.998